PBE-GGA CoReHgPb, relaxed; polymorph energy (0 for the lowest one) = 0 meV per atom
1.0
0.000 3.281 3.281
3.281 0.000 3.281
3.281 3.281 0.000
Co Re Hg Pb
1 1 1 1
Cartesian
0.000 0.000 0.000
3.281 3.281 3.281
1.641 1.641 1.641
4.922 4.922 4.922